# MnTlMoF6 | Alexandria | PBE+U | optimized geometry
data_MnTlMoF6
_symmetry_space_group_name_H-M 'P -3 1 c'
_symmetry_Int_Tables_number 163
_symmetry_space_group_name_Hall '-P 3 2c'
_cell_length_a 5.7663
_cell_length_b 5.7663
_cell_length_c 11.8715
_cell_angle_alpha 90.00
_cell_angle_beta 90.00
_cell_angle_gamma 120.00
loop_
_atom_site_label
_atom_site_type_symbol
_atom_site_fract_x
_atom_site_fract_y
_atom_site_fract_z
Mn1 Mn 0.3333 0.6667 0.2500
Tl1 Tl 0.0000 0.0000 0.0000
Mo1 Mo 0.3333 0.6667 0.7500
F1 F 0.0065 0.3741 0.6560
# Crystal system: trigonal
# Total energy: -100.63 eV for the cell shown